# Y2PuMg, relaxed, DFT PBE-GGA
# ΔH_f (0 K) in eV/atom: 0.293
# Energy above the lowest structure with this stoichiometry in eV/atom: 0.239
# Total DFT energy (no corrections) in eV per atom: -6.921
data_Y2PuMg
_cell_length_a 3.3916
_cell_length_b 3.3916
_cell_length_c 36.1114
_cell_angle_alpha 90.00
_cell_angle_beta 90.00
_cell_angle_gamma 120.00
_space_group_name_H-M_alt 'R -3 m'
_space_group_IT_number 166
_space_group_name_Hall '-R 3 2"'
loop_
_atom_site_label
_atom_site_type_symbol
_atom_site_fract_x
_atom_site_fract_y
_atom_site_fract_z
Y1 Y 0.0000 0.0000 0.0915
Pu1 Pu 0.0000 0.0000 0.0000
Mg1 Mg 0.0000 0.0000 0.5000